Entry from Alexandria via LeMat-Bulk: crystalline Hg2IO at its relaxed geometry (PBE).

Calculated values
N(E_F), states/eV/f.u.: 0.66
E, eV/cell: -15.3

Unit cell a=6.1932 b=6.1932 c=7.4442 alpha=65.42 beta=65.42 gamma=90.00
Sites, in units of the cell vectors:
Hg 0.8750 0.7468 0.7500
Hg 0.2532 0.6250 0.2500
Hg 0.3750 0.5032 0.7500
Hg 0.4968 0.1250 0.2500
I 0.7500 0.2500 0.5000
I 0.0000 0.0000 0.0000
O 0.2500 0.7500 0.5000
O 0.5000 0.5000 0.0000